Entry 1:
! Bi4B6O15 | the Alexandria database | PBEsol | optimized geometry; values from VASP
! ΔE_f (raw) in eV/f.u.: -51.2
! Density in g/cm³: 7.4
! Total magnetization in Bohr magnetons per cell: 0.0
&SYSTEM
  ibrav = 0, nat = 50, ntyp = 3
/
ATOMIC_SPECIES
Bi 208.98 Bi.upf
B 10.81 B.upf
O 16.00 O.upf
CELL_PARAMETERS angstrom
4.507 0.000 0.000
-2.254 5.927 -0.002
0.000 -2.603 19.142
ATOMIC_POSITIONS crystal
Bi 0.348 0.288 0.302
Bi 0.324 0.261 0.095
Bi 0.940 0.288 0.802
Bi 0.937 0.261 0.595
Bi 0.063 0.739 0.405
Bi 0.060 0.712 0.198
Bi 0.676 0.739 0.905
Bi 0.652 0.712 0.698
B 0.803 0.196 0.412
B 0.794 0.132 0.196
B 0.373 0.339 0.473
B 0.393 0.196 0.912
B 0.338 0.132 0.696
B 0.966 0.339 0.973
B 0.034 0.661 0.027
B 0.662 0.868 0.304
B 0.607 0.804 0.088
B 0.627 0.661 0.527
B 0.206 0.868 0.804
B 0.197 0.804 0.588
O 0.827 0.026 0.125
O 0.480 0.170 0.435
O 0.483 0.147 0.199
O 0.028 0.258 0.472
O 0.199 0.026 0.625
O 0.689 0.170 0.935
O 0.897 0.361 0.361
O 0.664 0.147 0.699
O 0.230 0.258 0.972
O 0.061 0.353 0.207
O 0.935 0.422 0.049
O 0.513 0.578 0.451
O 0.465 0.361 0.861
O 0.292 0.353 0.707
O 0.708 0.647 0.293
O 0.535 0.639 0.139
O 0.487 0.422 0.549
O 0.065 0.578 0.951
O 0.939 0.647 0.793
O 0.770 0.742 0.028
O 0.336 0.853 0.301
O 0.103 0.639 0.639
O 0.311 0.830 0.065
O 0.801 0.974 0.375
O 0.855 0.000 0.250
O 0.972 0.742 0.528
O 0.517 0.853 0.801
O 0.520 0.830 0.565
O 0.173 0.974 0.875
O 0.145 0.000 0.750

---

Entry 2:
! KTe2F | the Alexandria database | PBEsol | optimized geometry; values from VASP
! ΔE_f (raw) in eV/f.u.: -1.2
! Density in g/cm³: 5.3
! Excess energy over the best structure of this formula in the dataset in eV/f.u.: 3.066
! Total magnetization in Bohr magnetons per cell: 0.0
&SYSTEM
  ibrav = 0, nat = 4, ntyp = 3
/
ATOMIC_SPECIES
K 39.10 K.upf
Te 127.60 Te.upf
F 19.00 F.upf
CELL_PARAMETERS angstrom
-4.769 1.899 -0.592
-3.703 -1.212 3.394
-1.779 3.582 3.272
ATOMIC_POSITIONS crystal
K 0.500 0.500 0.500
Te 0.250 0.250 0.250
Te 0.750 0.750 0.750
F 0.000 0.000 0.000

---

Entry 3:
! TaMn2Cr | the Alexandria database | PBEsol | optimized geometry; values from VASP
! Density in g/cm³: 11.4
! Total magnetization in Bohr magnetons per cell: 1.5
! Energy of formation from the pure elements in kcal/mol of atoms: 1.97
&SYSTEM
  ibrav = 0, nat = 4, ntyp = 3
/
ATOMIC_SPECIES
Cr 52.00 Cr.upf
Mn 54.94 Mn.upf
Ta 180.95 Ta.upf
CELL_PARAMETERS angstrom
2.935 0.000 0.000
0.000 4.216 0.000
-1.468 -2.108 4.035
ATOMIC_POSITIONS crystal
Cr 0.000 0.500 0.000
Mn 0.739 0.739 0.477
Mn 0.261 0.261 0.523
Ta 0.500 0.000 0.000

---

Entry 4:
! LiYSi2 | the Alexandria database | PBEsol | optimized geometry; values from VASP
! ΔE_f (raw) in eV/f.u.: -1.8
! Density in g/cm³: 3.4
! Excess energy over the best structure of this formula in the dataset in eV/f.u.: 0.312
! Total magnetization in Bohr magnetons per cell: 0.0
&SYSTEM
  ibrav = 0, nat = 4, ntyp = 3
/
ATOMIC_SPECIES
Y 88.91 Y.upf
Si 28.09 Si.upf
Li 6.94 Li.upf
CELL_PARAMETERS angstrom
-1.882 -2.139 2.292
0.090 -3.046 -2.770
5.130 0.951 2.182
ATOMIC_POSITIONS crystal
Y 0.476 0.976 0.952
Si 0.069 0.569 0.138
Si 0.725 0.725 0.451
Li 0.230 0.230 0.460

---

Entry 5:
! MgTc2P | the Alexandria database | PBEsol | optimized geometry; values from VASP
! Density in g/cm³: 7.9
! Excess energy over the best structure of this formula in the dataset in eV/f.u.: 0.950
! Total magnetization in Bohr magnetons per cell: 0.0
! Energy of formation from the pure elements in kcal/mol of atoms: 1.79
&SYSTEM
  ibrav = 0, nat = 4, ntyp = 3
/
ATOMIC_SPECIES
Mg 24.30 Mg.upf
P 30.97 P.upf
Tc 98.00 Tc.upf
CELL_PARAMETERS angstrom
4.211 0.000 0.000
2.105 3.647 0.000
2.105 1.216 3.438
ATOMIC_POSITIONS crystal
Mg 0.000 0.000 0.000
P 0.500 0.500 0.500
Tc 0.750 0.750 0.750
Tc 0.250 0.250 0.250

---

Entry 6:
! Y5Ag3 | the Alexandria database | PBEsol | optimized geometry; values from VASP
! Density in g/cm³: 6.2
! Excess energy over the best structure of this formula in the dataset in eV/f.u.: 0.000
! Total magnetization in Bohr magnetons per cell: 0.0
! Energy of formation from the pure elements in kcal/mol of atoms: -4.64
&SYSTEM
  ibrav = 0, nat = 16, ntyp = 2
/
ATOMIC_SPECIES
Ag 107.87 Ag.upf
Y 88.91 Y.upf
CELL_PARAMETERS angstrom
-1.603 6.335 3.315
-1.618 -3.630 6.156
8.861 -0.713 -2.452
ATOMIC_POSITIONS crystal
Ag 0.750 0.750 0.500
Ag 0.250 0.250 0.500
Ag 0.131 0.631 0.000
Ag 0.869 0.369 0.000
Ag 0.369 0.131 0.000
Ag 0.631 0.869 0.000
Y 0.500 0.500 0.000
Y 0.000 0.000 0.000
Y 0.486 0.986 0.304
Y 0.818 0.318 0.304
Y 0.318 0.486 0.304
Y 0.986 0.818 0.304
Y 0.014 0.182 0.696
Y 0.682 0.514 0.696
Y 0.182 0.682 0.696
Y 0.514 0.014 0.696

---

Entry 7:
! CaScSe | the Alexandria database | PBEsol | optimized geometry; values from VASP
! ΔE_f (raw) in eV/f.u.: 0.3
! Density in g/cm³: 3.3
! Excess energy over the best structure of this formula in the dataset in eV/f.u.: 3.450
! Total magnetization in Bohr magnetons per cell: 2.5
&SYSTEM
  ibrav = 0, nat = 3, ntyp = 3
/
ATOMIC_SPECIES
Sc 44.96 Sc.upf
Ca 40.08 Ca.upf
Se 78.96 Se.upf
CELL_PARAMETERS angstrom
4.900 0.000 0.000
2.450 4.244 0.000
2.450 1.415 4.001
ATOMIC_POSITIONS crystal
Sc 0.000 0.000 0.000
Ca 0.250 0.250 0.250
Se 0.500 0.500 0.500

---

Entry 8:
! V4NiS8 | the Alexandria database | PBEsol | optimized geometry; values from VASP
! ΔE_f (raw) in eV/f.u.: -12.0
! Density in g/cm³: 4.5
! Total magnetization in Bohr magnetons per cell: 0.5
&SYSTEM
  ibrav = 0, nat = 13, ntyp = 3
/
ATOMIC_SPECIES
V 50.94 V.upf
Ni 58.69 Ni.upf
S 32.06 S.upf
CELL_PARAMETERS angstrom
6.328 -0.008 -0.011
-3.027 5.557 0.011
-1.745 -2.718 5.496
ATOMIC_POSITIONS crystal
V 0.712 0.712 0.000
V 0.288 0.288 0.000
V 0.746 0.734 0.480
V 0.254 0.266 0.520
Ni 0.500 0.000 0.500
S 0.197 0.967 0.164
S 0.803 0.033 0.836
S 0.730 0.443 0.174
S 0.270 0.557 0.826
S 0.720 0.456 0.675
S 0.782 0.045 0.325
S 0.218 0.955 0.675
S 0.280 0.544 0.325